# Na2ZrAl

An optimized crystal structure of Na2ZrAl (PBE-GGA, Alexandria).

## Properties
E, eV/atom: -3.003
Magnetization, μB per formula unit: 1.19
Energy of formation, eV per atom: 0.729
Calculated density, g cm⁻³: 2.6

Geometry as CIF:
```
data_Na2ZrAl
_cell_length_a 8.551
_cell_length_b 8.551
_cell_length_c 5.753
_cell_angle_alpha 90.00
_cell_angle_beta 90.00
_cell_angle_gamma 90.00
_symmetry_space_group_name_H-M 'I -4 2 d'
_symmetry_Int_Tables_number 122
_symmetry_space_group_name_Hall 'I -4 2bw'
loop_
_atom_site_label
_atom_site_type_symbol
_atom_site_fract_x
_atom_site_fract_y
_atom_site_fract_z
_atom_site_occupancy
Na1 Na 0.220 0.750 0.125 1
Zr1 Zr 0.000 0.000 0.500 1
Al1 Al 0.000 0.000 0.000 1
```